i) Compound: Al2TcRh
Source: Alexandria via LeMat-Bulk
Functional: GGA-PBE
Structure: optimized geometry

CIF file:
```
data_Al2TcRh
_chemical_formula_sum 'Al4 Tc2 Rh2'
_symmetry_space_group_name_H-M 'I m m m'
_symmetry_Int_Tables_number 71
_symmetry_space_group_name_Hall '-I 2 2'
_cell_length_a 3.0515
_cell_length_b 4.7410
_cell_length_c 8.0326
_cell_angle_alpha 90.00
_cell_angle_beta 90.00
_cell_angle_gamma 90.00
loop_
_atom_site_label
_atom_site_type_symbol
_atom_site_fract_x
_atom_site_fract_y
_atom_site_fract_z
Al1 Al 0.0000 0.0000 0.2466
Tc1 Tc 0.0000 0.5000 0.0000
Rh1 Rh 0.0000 0.5000 0.5000
```

ii) Compound: Al2TcRh
Source: Alexandria via LeMat-Bulk
Functional: GGA-PBE
Structure: optimized geometry

CIF file:
```
data_Al2TcRh
_chemical_formula_sum 'Al4 Tc2 Rh2'
_symmetry_space_group_name_H-M 'C 1 m 1'
_symmetry_Int_Tables_number 8
_cell_length_a 9.4877
_cell_length_b 2.8165
_cell_length_c 4.4972
_cell_angle_alpha 90.00
_cell_angle_beta 108.75
_cell_angle_gamma 90.00
loop_
_symmetry_equiv_pos_as_xyz
'x,y,z'
'x,-y,z'
'x+1/2,y+1/2,z'
'x+1/2,-y+1/2,z'
loop_
_atom_site_label
_atom_site_type_symbol
_atom_site_fract_x
_atom_site_fract_y
_atom_site_fract_z
Al1 Al 0.0000 0.0000 0.0000
Al2 Al 0.2340 0.0000 0.6086
Tc1 Tc 0.4850 0.0000 0.4968
Rh1 Rh 0.2434 0.5000 0.1032
```

iii) Compound: Al2TcRh
Source: Alexandria via LeMat-Bulk
Functional: GGA-PBE
Structure: optimized geometry

CIF file:
```
data_Al2TcRh
_chemical_formula_sum 'Al6 Tc3 Rh3'
_symmetry_space_group_name_H-M 'R 3 m'
_symmetry_Int_Tables_number 160
_symmetry_space_group_name_Hall 'R 3 -2"'
_cell_length_a 2.8226
_cell_length_b 2.8226
_cell_length_c 25.7369
_cell_angle_alpha 90.00
_cell_angle_beta 90.00
_cell_angle_gamma 120.00
loop_
_atom_site_label
_atom_site_type_symbol
_atom_site_fract_x
_atom_site_fract_y
_atom_site_fract_z
Al1 Al 0.0000 0.0000 0.0000
Al2 Al 0.0000 0.0000 0.2432
Tc1 Tc 0.0000 0.0000 0.4943
Rh1 Rh 0.0000 0.0000 0.7446
```

iv) Compound: Al2TcRh
Source: Alexandria via LeMat-Bulk
Functional: GGA-PBE
Structure: optimized geometry

CIF file:
```
data_Al2TcRh
_chemical_formula_sum 'Al4 Tc2 Rh2'
_symmetry_space_group_name_H-M 'I m m 2'
_symmetry_Int_Tables_number 44
_cell_length_a 3.0240
_cell_length_b 4.1414
_cell_length_c 9.0829
_cell_angle_alpha 90.00
_cell_angle_beta 90.00
_cell_angle_gamma 90.00
loop_
_symmetry_equiv_pos_as_xyz
'x,y,z'
'-x,-y,z'
'-x,y,z'
'x,-y,z'
'x+1/2,y+1/2,z+1/2'
'-x+1/2,-y+1/2,z+1/2'
'-x+1/2,y+1/2,z+1/2'
'x+1/2,-y+1/2,z+1/2'
loop_
_atom_site_label
_atom_site_type_symbol
_atom_site_fract_x
_atom_site_fract_y
_atom_site_fract_z
Al1 Al 0.0000 0.0000 0.0000
Al2 Al 0.0000 0.5000 0.2346
Tc1 Tc 0.0000 0.0000 0.4851
Rh1 Rh 0.0000 0.5000 0.7369
```

Relative energies, kJ/mol of atoms: i) 22.3; ii) 0.0; iii) 30.1; iv) 7.0.

i) Compound: Al2TcRh
Source: Alexandria via LeMat-Bulk
Functional: GGA-PBE
Structure: optimized geometry

CIF file:
```
data_Al2TcRh
_chemical_formula_sum 'Al8 Tc4 Rh4'
_symmetry_space_group_name_H-M 'F -4 3 m'
_symmetry_Int_Tables_number 216
_symmetry_space_group_name_Hall 'F -4 2 3'
_cell_length_a 6.1460
_cell_length_b 6.1460
_cell_length_c 6.1460
_cell_angle_alpha 90.00
_cell_angle_beta 90.00
_cell_angle_gamma 90.00
loop_
_atom_site_label
_atom_site_type_symbol
_atom_site_fract_x
_atom_site_fract_y
_atom_site_fract_z
Al1 Al 0.0000 0.0000 0.0000
Al2 Al 0.2500 0.2500 0.2500
Tc1 Tc 0.2500 0.2500 0.7500
Rh1 Rh 0.0000 0.0000 0.5000
```

ii) Compound: Al2TcRh
Source: Alexandria via LeMat-Bulk
Functional: GGA-PBE
Structure: optimized geometry

CIF file:
```
data_Al2TcRh
_chemical_formula_sum 'Al8 Tc4 Rh4'
_symmetry_space_group_name_H-M 'I -4 2 d'
_symmetry_Int_Tables_number 122
_symmetry_space_group_name_Hall 'I -4 2bw'
_cell_length_a 6.6621
_cell_length_b 6.6621
_cell_length_c 5.6709
_cell_angle_alpha 90.00
_cell_angle_beta 90.00
_cell_angle_gamma 90.00
loop_
_atom_site_label
_atom_site_type_symbol
_atom_site_fract_x
_atom_site_fract_y
_atom_site_fract_z
Al1 Al 0.2355 0.2500 0.1250
Tc1 Tc 0.0000 0.0000 0.5000
Rh1 Rh 0.0000 0.0000 0.0000
```

Relative energies, kJ/mol of atoms: i) 0.0; ii) 21.4.

i) Compound: AlTcRh3
Source: Alexandria via LeMat-Bulk
Functional: GGA-PBE
Structure: optimized geometry

CIF file:
```
data_AlTcRh3
_chemical_formula_sum 'Al1 Tc1 Rh3'
_symmetry_space_group_name_H-M 'P m -3 m'
_symmetry_Int_Tables_number 221
_symmetry_space_group_name_Hall '-P 4 2 3'
_cell_length_a 4.6552
_cell_length_b 4.6552
_cell_length_c 4.6552
_cell_angle_alpha 90.00
_cell_angle_beta 90.00
_cell_angle_gamma 90.00
loop_
_atom_site_label
_atom_site_type_symbol
_atom_site_fract_x
_atom_site_fract_y
_atom_site_fract_z
Al1 Al 0.0000 0.0000 0.0000
Tc1 Tc 0.5000 0.5000 0.5000
Rh1 Rh 0.0000 0.5000 0.5000
```

ii) Compound: AlTcRh3
Source: Alexandria via LeMat-Bulk
Functional: GGA-PBE
Structure: optimized geometry

CIF file:
```
data_AlTcRh3
_chemical_formula_sum 'Al1 Tc1 Rh3'
_symmetry_space_group_name_H-M 'P m -3 m'
_symmetry_Int_Tables_number 221
_symmetry_space_group_name_Hall '-P 4 2 3'
_cell_length_a 4.4018
_cell_length_b 4.4018
_cell_length_c 4.4018
_cell_angle_alpha 90.00
_cell_angle_beta 90.00
_cell_angle_gamma 90.00
loop_
_atom_site_label
_atom_site_type_symbol
_atom_site_fract_x
_atom_site_fract_y
_atom_site_fract_z
Al1 Al 0.0000 0.0000 0.0000
Tc1 Tc 0.5000 0.5000 0.5000
Rh1 Rh 0.0000 0.0000 0.5000
```

Relative energies, kJ/mol of atoms: i) 27.0; ii) 0.0.

i) Compound: AlTeRh3
Source: Alexandria via LeMat-Bulk
Functional: GGA-PBE
Structure: optimized geometry

CIF file:
```
data_AlTeRh3
_chemical_formula_sum 'Al1 Te1 Rh3'
_symmetry_space_group_name_H-M 'P m -3 m'
_symmetry_Int_Tables_number 221
_symmetry_space_group_name_Hall '-P 4 2 3'
_cell_length_a 4.5241
_cell_length_b 4.5241
_cell_length_c 4.5241
_cell_angle_alpha 90.00
_cell_angle_beta 90.00
_cell_angle_gamma 90.00
loop_
_atom_site_label
_atom_site_type_symbol
_atom_site_fract_x
_atom_site_fract_y
_atom_site_fract_z
Al1 Al 0.0000 0.0000 0.0000
Te1 Te 0.5000 0.5000 0.5000
Rh1 Rh 0.0000 0.0000 0.5000
```

ii) Compound: AlTeRh3
Source: Alexandria via LeMat-Bulk
Functional: GGA-PBE
Structure: optimized geometry

CIF file:
```
data_AlTeRh3
_chemical_formula_sum 'Al1 Te1 Rh3'
_symmetry_space_group_name_H-M 'P m -3 m'
_symmetry_Int_Tables_number 221
_symmetry_space_group_name_Hall '-P 4 2 3'
_cell_length_a 4.7907
_cell_length_b 4.7907
_cell_length_c 4.7907
_cell_angle_alpha 90.00
_cell_angle_beta 90.00
_cell_angle_gamma 90.00
loop_
_atom_site_label
_atom_site_type_symbol
_atom_site_fract_x
_atom_site_fract_y
_atom_site_fract_z
Al1 Al 0.0000 0.0000 0.0000
Te1 Te 0.5000 0.5000 0.5000
Rh1 Rh 0.0000 0.5000 0.5000
```

Relative energies, kJ/mol of atoms: i) 0.0; ii) 38.6.

i) Compound: Th2AlRh
Source: Alexandria via LeMat-Bulk
Functional: GGA-PBE
Structure: optimized geometry

CIF file:
```
data_Th2AlRh
_chemical_formula_sum 'Th6 Al3 Rh3'
_symmetry_space_group_name_H-M 'R -3 m'
_symmetry_Int_Tables_number 166
_symmetry_space_group_name_Hall '-R 3 2"'
_cell_length_a 3.8788
_cell_length_b 3.8788
_cell_length_c 29.4993
_cell_angle_alpha 90.00
_cell_angle_beta 90.00
_cell_angle_gamma 120.00
loop_
_atom_site_label
_atom_site_type_symbol
_atom_site_fract_x
_atom_site_fract_y
_atom_site_fract_z
Th1 Th 0.0000 0.0000 0.1084
Al1 Al 0.0000 0.0000 0.0000
Rh1 Rh 0.0000 0.0000 0.5000
```

ii) Compound: Th2AlRh
Source: Alexandria via LeMat-Bulk
Functional: GGA-PBE
Structure: optimized geometry

CIF file:
```
data_Th2AlRh
_chemical_formula_sum 'Th2 Al1 Rh1'
_symmetry_space_group_name_H-M 'P 4/m m m'
_symmetry_Int_Tables_number 123
_symmetry_space_group_name_Hall '-P 4 2'
_cell_length_a 3.4837
_cell_length_b 3.4837
_cell_length_c 7.9769
_cell_angle_alpha 90.00
_cell_angle_beta 90.00
_cell_angle_gamma 90.00
loop_
_atom_site_label
_atom_site_type_symbol
_atom_site_fract_x
_atom_site_fract_y
_atom_site_fract_z
Th1 Th 0.0000 0.0000 0.2283
Al1 Al 0.5000 0.5000 0.5000
Rh1 Rh 0.5000 0.5000 0.0000
```

Relative energies, kJ/mol of atoms: i) 50.2; ii) 0.0.

i) Compound: Ti4AlRh
Source: Alexandria via LeMat-Bulk
Functional: GGA-PBE
Structure: optimized geometry

CIF file:
```
data_Ti4AlRh
_chemical_formula_sum 'Ti4 Al1 Rh1'
_symmetry_space_group_name_H-M 'P 4/m m m'
_symmetry_Int_Tables_number 123
_symmetry_space_group_name_Hall '-P 4 2'
_cell_length_a 4.2460
_cell_length_b 4.2460
_cell_length_c 6.3038
_cell_angle_alpha 90.00
_cell_angle_beta 90.00
_cell_angle_gamma 90.00
loop_
_atom_site_label
_atom_site_type_symbol
_atom_site_fract_x
_atom_site_fract_y
_atom_site_fract_z
Ti1 Ti 0.0000 0.5000 0.2385
Al1 Al 0.0000 0.0000 0.5000
Rh1 Rh 0.5000 0.5000 0.0000
```

ii) Compound: Ti4AlRh
Source: Alexandria via LeMat-Bulk
Functional: GGA-PBE
Structure: optimized geometry

CIF file:
```
data_Ti4AlRh
_chemical_formula_sum 'Ti8 Al2 Rh2'
_symmetry_space_group_name_H-M 'C 1 2/m 1'
_symmetry_Int_Tables_number 12
_cell_length_a 9.4661
_cell_length_b 4.4356
_cell_length_c 5.4888
_cell_angle_alpha 90.00
_cell_angle_beta 123.70
_cell_angle_gamma 90.00
loop_
_symmetry_equiv_pos_as_xyz
'x,y,z'
'-x,-y,-z'
'-x,y,-z'
'x,-y,z'
'x+1/2,y+1/2,z'
'-x+1/2,-y+1/2,-z'
'-x+1/2,y+1/2,-z'
'x+1/2,-y+1/2,z'
loop_
_atom_site_label
_atom_site_type_symbol
_atom_site_fract_x
_atom_site_fract_y
_atom_site_fract_z
Ti1 Ti 0.1548 0.0000 0.3213
Ti2 Ti 0.1958 0.0000 0.8431
Al1 Al 0.0000 0.5000 0.5000
Rh1 Rh 0.0000 0.5000 0.0000
```

Relative energies, kJ/mol of atoms: i) 37.7; ii) 0.0.